# 1
Density functional theory data (PBE-GGA) for a relaxed structure of Zn2TePd2.

Lattice parameters (Å, degrees): 7.551 7.551 3.024 90.00 90.00 90.00
Atoms (fractional coordinates):
1 Zn 0.145 0.355 0.000
2 Zn 0.355 0.855 0.000
3 Zn 0.645 0.145 0.000
4 Zn 0.855 0.645 0.000
5 Te 0.000 0.000 0.500
6 Te 0.500 0.500 0.500
7 Pd 0.147 0.647 0.500
8 Pd 0.353 0.147 0.500
9 Pd 0.647 0.853 0.500
10 Pd 0.853 0.353 0.500

As for the space group: No. 127. The energy is -0.25931 Ry/atom. The crystal system is tetragonal. The calculation puts the formation energy (no corrections) at -30.2 kJ/mol of atoms. For the spin magnetization, the calculation gives 0.000 μB/cell. The energy relative to the lowest polymorph listed for this composition is 0.000 eV per atom.

---

# 2
Density functional theory data (PBE-GGA) for a relaxed structure of Zn2TePd9.

Lattice parameters (Å, degrees): 3.975 3.975 11.884 90.00 90.00 90.00
Atoms (fractional coordinates):
1 Zn 0.000 0.000 0.158
2 Zn 0.000 0.000 0.842
3 Te 0.000 0.000 0.500
4 Pd 0.000 0.500 0.000
5 Pd 0.000 0.500 0.325
6 Pd 0.000 0.500 0.675
7 Pd 0.500 0.000 0.000
8 Pd 0.500 0.000 0.325
9 Pd 0.500 0.000 0.675
10 Pd 0.500 0.500 0.163
11 Pd 0.500 0.500 0.500
12 Pd 0.500 0.500 0.837

As for the space group: No. 123. The energy is -0.34160 Ry/atom. The crystal system is tetragonal. The calculation puts the formation energy (no corrections) at -26.9 kJ/mol of atoms. For the spin magnetization, the calculation gives 0.000 μB/cell.

---

# 3
Density functional theory data (PBE-GGA) for a relaxed structure of ZnTe2Pd8.

Lattice parameters (Å, degrees): 7.780 7.780 6.217 106.94 106.94 31.13
Atoms (fractional coordinates):
1 Zn 0.000 0.000 0.000
2 Te 0.307 0.307 0.337
3 Te 0.693 0.693 0.663
4 Pd 0.085 0.085 0.447
5 Pd 0.174 0.174 0.933
6 Pd 0.354 0.354 0.794
7 Pd 0.467 0.467 0.246
8 Pd 0.533 0.533 0.754
9 Pd 0.646 0.646 0.206
10 Pd 0.826 0.826 0.067
11 Pd 0.915 0.915 0.553

As for the space group: No. 12. The energy is -0.35056 Ry/atom. The crystal system is monoclinic. The calculation puts the formation energy (no corrections) at -29.5 kJ/mol of atoms. For the spin magnetization, the calculation gives 0.000 μB/cell. The energy relative to the lowest polymorph listed for this composition is 0.000 eV per atom.

---

# 4
Density functional theory data (PBE-GGA) for a relaxed structure of ZnTePd4.

Lattice parameters (Å, degrees): 5.312 7.735 5.191 90.00 111.08 90.00
Atoms (fractional coordinates):
1 Zn 0.000 0.000 0.000
2 Zn 0.000 0.500 0.500
3 Te 0.500 0.000 0.500
4 Te 0.500 0.500 0.000
5 Pd 0.110 0.166 0.606
6 Pd 0.110 0.334 0.106
7 Pd 0.379 0.664 0.396
8 Pd 0.379 0.836 0.896
9 Pd 0.621 0.164 0.104
10 Pd 0.621 0.336 0.604
11 Pd 0.890 0.666 0.894
12 Pd 0.890 0.834 0.394

As for the space group: No. 14. The energy is -0.32993 Ry/atom. The crystal system is monoclinic. The calculation puts the formation energy (no corrections) at -28.1 kJ/mol of atoms. For the spin magnetization, the calculation gives 0.000 μB/cell. The energy relative to the lowest polymorph listed for this composition is 0.046 eV per atom.

---

# 5
Density functional theory data (PBE-GGA) for a relaxed structure of Zn2TePd2.

Lattice parameters (Å, degrees): 4.107 4.107 11.028 90.00 90.00 90.00
Atoms (fractional coordinates):
1 Zn 0.000 0.000 0.113
2 Zn 0.000 0.000 0.887
3 Zn 0.500 0.500 0.387
4 Zn 0.500 0.500 0.613
5 Te 0.000 0.000 0.500
6 Te 0.500 0.500 0.000
7 Pd 0.000 0.500 0.250
8 Pd 0.000 0.500 0.750
9 Pd 0.500 0.000 0.250
10 Pd 0.500 0.000 0.750

As for the space group: No. 139. The energy is -0.24391 Ry/atom. The crystal system is tetragonal. The calculation puts the formation energy (no corrections) at -10.0 kJ/mol of atoms. For the spin magnetization, the calculation gives 0.000 μB/cell. The energy relative to the lowest polymorph listed for this composition is 0.210 eV per atom.

---

# 6
Density functional theory data (PBE-GGA) for a relaxed structure of ZnTePd6.

Lattice parameters (Å, degrees): 6.859 6.434 4.815 73.56 64.11 42.33
Atoms (fractional coordinates):
1 Zn 0.000 0.000 0.000
2 Te 0.500 0.500 0.500
3 Pd 0.123 0.123 0.377
4 Pd 0.245 0.245 0.755
5 Pd 0.377 0.377 0.123
6 Pd 0.623 0.623 0.877
7 Pd 0.755 0.755 0.245
8 Pd 0.877 0.877 0.623

As for the space group: No. 69. The energy is -0.34329 Ry/atom. The crystal system is orthorhombic. The calculation puts the formation energy (no corrections) at -21.6 kJ/mol of atoms. For the spin magnetization, the calculation gives 0.000 μB/cell. The energy relative to the lowest polymorph listed for this composition is 0.000 eV per atom.

---

# 7
Density functional theory data (PBE-GGA) for a relaxed structure of ZnTePd4.

Lattice parameters (Å, degrees): 6.607 3.895 15.709 90.00 90.00 90.00
Atoms (fractional coordinates):
1 Zn 0.206 0.250 0.201
2 Zn 0.294 0.750 0.701
3 Zn 0.706 0.250 0.299
4 Zn 0.794 0.750 0.799
5 Te 0.209 0.750 0.449
6 Te 0.291 0.250 0.949
7 Te 0.709 0.750 0.051
8 Te 0.791 0.250 0.551
9 Pd 0.020 0.750 0.931
10 Pd 0.075 0.250 0.348
11 Pd 0.084 0.250 0.784
12 Pd 0.210 0.250 0.594
13 Pd 0.290 0.750 0.094
14 Pd 0.416 0.750 0.284
15 Pd 0.425 0.750 0.848
16 Pd 0.480 0.250 0.431
17 Pd 0.520 0.750 0.569
18 Pd 0.575 0.250 0.152
19 Pd 0.584 0.250 0.716
20 Pd 0.710 0.250 0.906
21 Pd 0.790 0.750 0.406
22 Pd 0.916 0.750 0.216
23 Pd 0.925 0.750 0.652
24 Pd 0.980 0.250 0.069

As for the space group: No. 62. The energy is -0.33335 Ry/atom. The crystal system is orthorhombic. The calculation puts the formation energy (no corrections) at -32.6 kJ/mol of atoms. For the spin magnetization, the calculation gives 0.000 μB/cell. The energy relative to the lowest polymorph listed for this composition is 0.000 eV per atom.

---

# 8
Density functional theory data (PBE-GGA) for a relaxed structure of ZnTe3Pd12.

Lattice parameters (Å, degrees): 4.063 4.063 16.050 90.00 90.00 90.00
Atoms (fractional coordinates):
1 Zn 0.000 0.000 0.000
2 Te 0.000 0.000 0.237
3 Te 0.000 0.000 0.500
4 Te 0.000 0.000 0.763
5 Pd 0.000 0.500 0.117
6 Pd 0.000 0.500 0.373
7 Pd 0.000 0.500 0.627
8 Pd 0.000 0.500 0.883
9 Pd 0.500 0.000 0.117
10 Pd 0.500 0.000 0.373
11 Pd 0.500 0.000 0.627
12 Pd 0.500 0.000 0.883
13 Pd 0.500 0.500 0.000
14 Pd 0.500 0.500 0.248
15 Pd 0.500 0.500 0.500
16 Pd 0.500 0.500 0.752

As for the space group: No. 123. The energy is -0.35145 Ry/atom. The crystal system is tetragonal. The calculation puts the formation energy (no corrections) at -21.1 kJ/mol of atoms. For the spin magnetization, the calculation gives 0.000 μB/cell.